Entry 1:
The following is a PBE-GGA calculation of a relaxed Sr2Ga3BiAu12 crystal, from the Alexandria database.

Summary:
calculated density	11.597	g cm⁻³
final energy	-3.3209	eV per atom
spin magnetization	0.000	μB per atom
SG	No. 166

abc: 11.1723 11.1723 11.1723
angles: 35.65 35.65 35.65
Fractional coordinates of all 18 atoms:
Au: 0.8179 0.4071 0.4071
Au: 0.5929 0.5929 0.1821
Au: 0.5929 0.1821 0.5929
Ga: 0.0000 0.5000 0.0000
Au: 0.8699 0.8699 0.4392
Au: 0.5608 0.1301 0.1301
Sr: 0.6372 0.6372 0.6372
Au: 0.1301 0.5608 0.1301
Au: 0.1821 0.5929 0.5929
Au: 0.4071 0.8179 0.4071
Bi: 0.0000 0.0000 0.0000
Sr: 0.3628 0.3628 0.3628
Au: 0.8699 0.4392 0.8699
Au: 0.1301 0.1301 0.5608
Ga: 0.5000 0.0000 0.0000
Au: 0.4392 0.8699 0.8699
Ga: 0.0000 0.0000 0.5000
Au: 0.4071 0.4071 0.8179



Entry 2:
The following is a PBE-GGA calculation of a relaxed Sr2Ga4BiAu3 crystal, from the Alexandria database.

Summary:
calculated density	8.825	g cm⁻³
final energy	-3.4359	eV per atom
spin magnetization	0.000	μB per atom
SG	No. 115

abc: 4.5752 4.5752 11.2722
angles: 90.00 90.00 90.00
Fractional coordinates of all 10 atoms:
Au: 0.5000 0.0000 0.8791
Ga: 0.5000 0.0000 0.6528
Ga: 0.0000 0.0000 0.0000
Au: 0.0000 0.5000 0.1209
Sr: 0.0000 0.5000 0.7629
Au: 0.0000 0.0000 0.5000
Bi: 0.5000 0.5000 0.5000
Sr: 0.5000 0.0000 0.2371
Ga: 0.0000 0.5000 0.3472
Ga: 0.5000 0.5000 0.0000



Entry 3:
The following is a PBE-GGA calculation of a relaxed GaTcBi2Au crystal, from the Alexandria database.

Summary:
calculated density	9.506	g cm⁻³
final energy	-3.8750	eV per atom
spin magnetization	0.354	μB per atom
SG	No. 123

abc: 5.3774 5.3774 4.7280
angles: 90.00 90.00 90.00
Site moments in Bohr magnetons follow the coordinates.
Fractional coordinates of all 5 atoms:
Bi: 0.5000 0.0000 0.0000  -0.10
Ga: 0.0000 0.0000 0.0000  -0.05
Bi: 0.0000 0.5000 0.0000  -0.10
Tc: 0.0000 0.0000 0.5000  1.81
Au: 0.5000 0.5000 0.5000  -0.02



Entry 4:
The following is a PBE-GGA calculation of a relaxed ThGaBiAu crystal, from the Alexandria database.

Summary:
calculated density	11.776	g cm⁻³
final energy	-4.7216	eV per atom
spin magnetization	0.000	μB per atom
SG	No. 216

abc: 5.2064 5.2064 5.2064
angles: 60.00 60.00 60.00
Fractional coordinates of all 4 atoms:
Au: 0.7500 0.7500 0.7500
Ga: 0.2500 0.2500 0.2500
Th: 0.5000 0.5000 0.5000
Bi: 0.0000 0.0000 0.0000



Entry 5:
The following is a PBE-GGA calculation of a relaxed Tl2Ga3BiAu12 crystal, from the Alexandria database.

Summary:
calculated density	12.854	g cm⁻³
final energy	-3.1261	eV per atom
spin magnetization	0.000	μB per atom
SG	No. 166

abc: 10.0783 10.0783 10.0783
angles: 41.85 41.85 41.85
Fractional coordinates of all 18 atoms:
Au: 0.8107 0.4104 0.4104
Tl: 0.3625 0.3625 0.3625
Au: 0.4104 0.8107 0.4104
Au: 0.5548 0.1337 0.1337
Bi: 0.0000 0.0000 0.0000
Au: 0.8663 0.4452 0.8663
Au: 0.8663 0.8663 0.4452
Au: 0.1337 0.1337 0.5548
Au: 0.4452 0.8663 0.8663
Ga: 0.0000 0.5000 0.0000
Au: 0.4104 0.4104 0.8107
Ga: 0.5000 0.0000 0.0000
Au: 0.1337 0.5548 0.1337
Au: 0.1893 0.5896 0.5896
Au: 0.5896 0.5896 0.1893
Tl: 0.6375 0.6375 0.6375
Au: 0.5896 0.1893 0.5896
Ga: 0.0000 0.0000 0.5000



Entry 6:
The following is a PBE-GGA calculation of a relaxed TlGaBiAu crystal, from the Alexandria database.

Summary:
calculated density	11.348	g cm⁻³
final energy	-3.1013	eV per atom
spin magnetization	0.000	μB per atom
SG	No. 216

abc: 5.2014 5.2014 5.2014
angles: 60.00 60.00 60.00
Fractional coordinates of all 4 atoms:
Bi: 0.5000 0.5000 0.5000
Au: 0.7500 0.7500 0.7500
Tl: 0.0000 0.0000 0.0000
Ga: 0.2500 0.2500 0.2500